The following is a PBE-GGA calculation of a relaxed structure of CdSbAu2, from Alexandria.

Lattice parameters (Å, degrees): 4.0698 4.0789 5.6239 90.00 90.00 90.00
Closest atoms and distances in Å follow each position.
Positions (direct):
Au (0.5000, 0.5000, 0.3749)  2 Sb 2.81, 4 Cd 2.88
Sb (0.5000, 0.5000, 0.8747)  6 Au 2.81-2.88
Au (0.0000, 0.0000, 0.8752)  2 Cd 2.81, 4 Sb 2.88
Cd (0.0000, 0.0000, 0.3752)  6 Au 2.81-2.88

**Total magnetization**: 0.000 μB/atom
**E**: -11.79 eV/cell
**Formation energy (no corrections)**: -0.050 eV/atom
**Density**: 11.2 Mg/m³
**Calculated volume**: 23.3 Å³/atom
**DOS at the Fermi energy**: 1.5 states/eV/cell
**Energy relative to the lowest polymorph listed for this composition**: 16 kJ/mol of formula units